13
Lattice="5.4245 -0.0275 2.2599 2.6228 7.1059 1.0927 -0.0373 -0.0137 7.7297" Properties=species:S:1:pos:R:3 comment="SmMg11Zn, optimized geometry, DFT PBE" energy_ev_per_atom=-1.87 spacegroup="No. 12" e_form_kj_per_mol_atoms=-5.7 pbc="T T T"
Sm 0.0000 0.0000 0.0000
Mg 6.2879 2.4858 7.6976
Zn 4.0236 3.5392 1.6763
Mg 2.6936 -0.0206 4.9948
Mg 5.8478 5.5303 8.5635
Mg 1.7221 4.5789 3.3847
Mg -0.0187 -0.0069 3.8648
Mg 3.5785 4.5652 6.5688
Mg 3.2736 1.5206 7.4910
Mg 4.4314 2.4995 4.5135
Mg 4.7363 5.5440 3.5913
Mg 2.1621 1.5344 2.5188
Mg 1.3114 3.5529 0.5463

=====

6
Lattice="-2.5692 2.0379 -0.7230 -1.3489 0.0437 4.9168 5.1791 7.0115 1.3585" Properties=species:S:1:pos:R:3 comment="Sm2Mg3Zn, optimized geometry, DFT PBE" energy_ev_per_atom=-2.71 spacegroup="No. 25" e_form_kj_per_mol_atoms=-12.2 pbc="T T T"
Mg 1.4683 5.6808 2.9959
Mg -0.4118 2.2005 -0.1325
Mg 3.0182 6.8440 0.7672
Zn -0.2186 3.3971 2.5534
Sm -0.5860 0.1416 2.4816
Sm 2.5159 3.4060 0.6599

=====

13
Lattice="5.1249 0.0000 2.1047 2.5506 6.7848 1.0812 -0.0151 0.0531 7.3284" Properties=species:S:1:pos:R:3 comment="SmMg7Zn5, optimized geometry, DFT PBE" energy_ev_per_atom=-1.87 spacegroup="No. 44" e_form_kj_per_mol_atoms=-15.0 pbc="T T T"
Zn 5.6578 5.3595 8.0988
Zn 5.0939 6.7722 5.8316
Zn 7.6524 6.7722 6.8824
Mg 6.7762 4.4753 5.3755
Mg 1.9896 1.5127 2.4471
Mg 3.4331 4.4675 6.2240
Zn 6.3981 3.4811 9.9366
Mg 4.5923 5.3817 3.4014
Mg 3.0821 1.4192 7.0787
Mg 5.9901 2.4126 7.2897
Sm 2.5488 6.8028 8.3772
Zn 3.8395 3.4811 8.8858
Mg 4.2291 2.3656 4.2859

=====

12
Lattice="5.3120 0.0000 0.0000 2.6560 4.6003 0.0000 2.6560 1.5334 8.7181" Properties=species:S:1:pos:R:3 comment="SmMg3Zn8, optimized geometry, DFT PBE" energy_ev_per_atom=-1.82 spacegroup="No. 160" e_form_kj_per_mol_atoms=-17.2 relative_energy_ev_per_atom=0.0088 pbc="T T T"
Mg 5.3120 3.0669 4.4779
Zn 6.6327 5.3713 6.0539
Zn 7.9680 3.0584 6.0539
Zn 2.6560 1.5334 3.8216
Zn 6.6536 2.2923 1.5517
Zn 3.9704 2.2923 1.5517
Zn 7.9680 4.6003 8.1537
Zn 9.3034 5.3713 6.0539
Mg 2.6560 1.5334 8.6712
Zn 5.3120 4.6160 1.5517
Mg 5.3120 3.0669 7.6581
Sm 7.9680 4.6003 3.2478

=====

13
Lattice="-3.7395 1.2853 -4.2433 -3.9281 -6.0686 -2.3405 -6.8565 2.0152 2.6888" Properties=species:S:1:pos:R:3 comment="SmMg10Zn2, optimized geometry, DFT PBE" energy_ev_per_atom=-1.87 spacegroup="No. 69" e_form_kj_per_mol_atoms=-7.9 pbc="T T T"
Mg -3.4282 1.0076 1.3444
Mg -4.8649 -3.1975 -0.6453
Zn -3.8338 -2.3916 -3.2919
Sm 0.0000 0.0000 0.0000
Mg -11.1719 -2.2028 -2.7139
Mg -6.1545 -0.6633 -2.7052
Zn -1.9641 -3.0343 -1.1703
Mg -8.3696 -2.1048 -1.1897
Mg -6.3663 -3.6535 -3.4243
Mg -5.2980 1.6503 -0.7772
Mg -8.1579 0.8854 -0.4706
Mg -3.3522 -0.5653 -1.1810
Mg -9.6592 0.4294 -3.2497

=====

4
Lattice="3.6845 0.0000 0.0000 0.0000 4.8572 0.0000 0.0000 0.0000 4.8572" Properties=species:S:1:pos:R:3 comment="SmMgZn2, optimized geometry, DFT PBE" energy_ev_per_atom=-2.43 spacegroup="No. 123" e_form_kj_per_mol_atoms=-20.6 pbc="T T T"
Zn 0.0000 2.4286 0.0000
Sm 1.8422 2.4286 2.4286
Mg 1.8422 0.0000 0.0000
Zn 0.0000 0.0000 2.4286

=====

4
Lattice="5.0335 0.0000 0.0000 2.5168 4.3591 0.0000 2.5168 1.4530 4.1083" Properties=species:S:1:pos:R:3 comment="SmMg2Zn, optimized geometry, DFT PBE" energy_ev_per_atom=-2.49 spacegroup="No. 216" e_form_kj_per_mol_atoms=-19.0 pbc="T T T"
Zn 7.5503 4.3591 3.0801
Sm 5.0335 2.9061 2.0539
Mg 7.5503 4.3591 0.0007
Mg 2.5168 1.4530 1.0279

=====

8
Lattice="9.1296 0.0160 0.0456 4.5684 7.2291 -0.2421 4.5464 2.2969 3.6165" Properties=species:S:1:pos:R:3 comment="Sm6MgZn, optimized geometry, DFT PBE" energy_ev_per_atom=-3.89 spacegroup="No. 2" e_form_kj_per_mol_atoms=1.1 relative_energy_ev_per_atom=0.0883 pbc="T T T"
Sm 14.5971 8.6513 2.3967
Sm 11.2757 7.3938 2.8406
Zn 0.0000 0.0000 0.0000
Sm 6.9688 2.1482 0.5794
Mg 9.1222 4.7710 1.7100
Sm 3.6474 0.8906 1.0233
Sm 5.7960 4.9584 2.6828
Sm 12.4484 4.5835 0.7372

=====

10
Lattice="4.1868 0.0000 0.0000 0.0000 4.1868 0.0000 0.0000 0.0000 11.1530" Properties=species:S:1:pos:R:3 comment="Sm2MgZn7, optimized geometry, DFT PBE" energy_ev_per_atom=-2.29 spacegroup="No. 115" e_form_kj_per_mol_atoms=-28.1 pbc="T T T"
Sm 0.0000 2.0934 2.9702
Mg 2.0934 2.0934 0.0000
Zn 2.0934 0.0000 1.6654
Zn 2.0934 2.0934 5.5765
Zn 0.0000 2.0934 7.0132
Zn 0.0000 2.0934 9.4876
Zn 0.0000 0.0000 0.0000
Sm 2.0934 0.0000 8.1828
Zn 0.0000 0.0000 5.5765
Zn 2.0934 0.0000 4.1398

=====

8
Lattice="-0.0386 3.0063 -2.2642 -3.3335 -1.0784 -1.3751 -7.1722 8.1746 10.9760" Properties=species:S:1:pos:R:3 comment="Sm4Mg3Zn, optimized geometry, DFT PBE" energy_ev_per_atom=-3.27 spacegroup="No. 123" e_form_kj_per_mol_atoms=-14.5 pbc="T T T"
Mg -3.4341 2.9563 0.8554
Mg -5.2722 5.0513 3.6683
Zn -1.6860 0.9640 -1.8197
Sm -6.3738 7.2646 9.7541
Sm -4.5093 5.1395 6.9008
Mg -7.1102 7.1462 6.4812
Sm -0.7984 0.9100 1.2218
Sm -2.6629 3.0351 4.0752

=====

7
Lattice="5.2003 0.0000 0.0000 2.6002 4.5036 0.0000 2.6002 1.5012 8.6923" Properties=species:S:1:pos:R:3 comment="Sm4MgZn2, optimized geometry, DFT PBE" energy_ev_per_atom=-3.27 spacegroup="No. 166" e_form_kj_per_mol_atoms=1.9 relative_energy_ev_per_atom=0.1350 pbc="T T T"
Sm 7.8005 4.5036 5.5350
Sm 5.2003 3.0024 7.5050
Zn 2.6002 1.5012 6.1351
Sm 2.6002 1.5012 3.1573
Zn 7.8005 4.5036 2.5572
Mg 0.0000 0.0000 0.0000
Sm 5.2003 3.0024 1.1872

=====

5
Lattice="3.6302 0.0000 0.0000 0.0000 4.3774 -1.2444 0.0000 -0.1729 7.7128" Properties=species:S:1:pos:R:3 comment="Sm2MgZn2, optimized geometry, DFT PBE" energy_ev_per_atom=-2.97 spacegroup="No. 65" e_form_kj_per_mol_atoms=-24.4 pbc="T T T"
Zn 0.0000 0.8100 2.8493
Sm 1.8151 1.4981 5.2698
Mg 0.0000 0.0000 0.0000
Zn 0.0000 3.3944 3.6190
Sm 1.8151 2.7063 1.1985

=====

Going through the records in order, we get mass density values of 2.68; 4.83; 4.22; 5.82; 3.03; 5.84; 4.87; 6.79; 6.65; 5.61; 6.17; 6.22 g cm⁻³.